The following is a GGA+U calculation of a relaxed structure of PuTaNiO6, from Alexandria via LeMat-Bulk.

The calculation puts the energy at -157.91 eV for the cell shown. As for the mass density: 8.491 g cm⁻³. The density of states at the Fermi level is 8.15 states/eV/f.u. Its space group is P-31c, No. 163.

a b c (Å): 5.4418 5.4418 8.8400
angles (deg): 90.00 90.00 120.00
Last column: nearest neighbours and their distance in Å.
Positions (direct):
Pu1 0.3333 0.6667 0.2500  6 O 2.14
Pu2 0.6667 0.3333 0.7500  6 O 2.14
Ta1 0.3333 0.6667 0.7500  6 O 2.01
Ta2 0.6667 0.3333 0.2500  6 O 2.01
Ni1 0.0000 0.0000 0.0000  6 O 2.20
Ni2 0.0000 0.0000 0.5000  6 O 2.20
O1 0.0187 0.3527 0.6307  1 Ta 2.01, 1 Pu 2.14, 1 Ni 2.20
O2 0.0187 0.6660 0.8693  1 Ta 2.01, 1 Pu 2.14, 1 Ni 2.20
O3 0.3340 0.3527 0.8693  1 Ta 2.01, 1 Pu 2.14, 1 Ni 2.20
O4 0.3340 0.9813 0.6307  1 Ta 2.01, 1 Pu 2.14, 1 Ni 2.20
O5 0.3527 0.0187 0.1307  1 Ta 2.01, 1 Pu 2.14, 1 Ni 2.20
O6 0.3527 0.3340 0.3693  1 Ta 2.01, 1 Pu 2.14, 1 Ni 2.20
O7 0.6473 0.6660 0.6307  1 Ta 2.01, 1 Pu 2.14, 1 Ni 2.20
O8 0.6473 0.9813 0.8693  1 Ta 2.01, 1 Pu 2.14, 1 Ni 2.20
O9 0.6660 0.0187 0.3693  1 Ta 2.01, 1 Pu 2.14, 1 Ni 2.20
O10 0.6660 0.6473 0.1307  1 Ta 2.01, 1 Pu 2.14, 1 Ni 2.20
O11 0.9813 0.3340 0.1307  1 Ta 2.01, 1 Pu 2.14, 1 Ni 2.20
O12 0.9813 0.6473 0.3693  1 Ta 2.01, 1 Pu 2.14, 1 Ni 2.20